[1]
CeMn4Al8, relaxed, DFT GGA-PBEsol; symmetry = I4/mmm; magnetic moment = 0.0 μB per cell; ΔH_f (0 K) = -3.8 eV/f.u.; density of states at the Fermi level = 8.4 states/eV per cell
1.0
4.889 0.000 0.000
2.444 6.187 0.000
2.444 0.000 6.187
Ce Mn Al
1 4 8
direct
0.000 0.000 0.000
0.500 0.500 0.000
0.000 0.500 0.000
0.500 0.000 0.500
0.000 0.000 0.500
0.000 0.657 0.343
0.719 0.781 0.781
0.657 0.343 0.343
0.500 0.219 0.781
0.343 0.657 0.657
0.281 0.219 0.219
0.500 0.781 0.219
0.000 0.343 0.657


[2]
KLa2Al, relaxed, DFT GGA-PBEsol; symmetry = P4/mmm; magnetic moment = 0.0 μB per cell; ΔH_f (0 K) = 1.0 eV/f.u.; density of states at the Fermi level = 4.4 states/eV per cell
1.0
-1.191 -2.812 -3.494
4.830 0.286 -1.876
1.352 -4.118 2.854
La K Al
2 1 1
direct
0.000 0.000 0.500
0.000 0.500 0.000
0.500 0.000 0.000
0.500 0.500 0.500


[3]
Al2IrAu, relaxed, DFT GGA-PBEsol; symmetry = P4/mmm; magnetic moment = 0.0 μB per cell; ΔH_f (0 K) = -2.2 eV/f.u.; density of states at the Fermi level = 1.7 states/eV per cell
1.0
-1.654 -0.962 -2.259
1.077 -4.182 0.992
-3.514 -0.268 2.687
Al Au Ir
2 1 1
direct
0.000 0.500 0.000
0.000 0.000 0.500
0.500 0.500 0.500
0.500 0.000 0.000


[4]
SrAg2Pd2, relaxed, DFT GGA-PBEsol; symmetry = I4/mmm; magnetic moment = 0.0 μB per cell; ΔH_f (0 K) = -0.8 eV/f.u.; density of states at the Fermi level = 1.9 states/eV per cell
1.0
-3.231 0.543 -2.689
-1.903 -3.436 1.593
-0.122 4.742 4.443
Pd Sr Ag
2 1 2
direct
0.750 0.250 0.500
0.250 0.750 0.500
0.000 0.000 0.000
0.388 0.388 0.775
0.612 0.612 0.225


[5]
TlIr3Ru, relaxed, DFT GGA-PBEsol; symmetry = Pm-3m; magnetic moment = 0.0 μB per cell; ΔH_f (0 K) = 8.8 eV/f.u.; density of states at the Fermi level = 5.0 states/eV per cell
1.0
4.675 0.000 0.000
0.000 4.675 0.000
0.000 0.000 4.675
Ir Ru Tl
3 1 1
direct
0.000 0.500 0.000
0.000 0.000 0.500
0.500 0.000 0.000
0.000 0.000 0.000
0.500 0.500 0.500


[6]
YSnS2, relaxed, DFT GGA-PBEsol; formation energy from raw total energies = -575 meV per atom; symmetry = R-3m; magnetic moment = 0.0 μB per cell; density of states at the Fermi level = 2.2 states/eV per cell
1.0
-0.008 -3.760 0.739
1.891 -1.359 3.043
-6.165 -0.780 5.896
Y Sn S
1 1 2
direct
0.000 0.000 0.000
0.500 0.500 0.500
0.104 0.104 0.688
0.896 0.896 0.312


[7]
TlCr2Pb, relaxed, DFT GGA-PBEsol; energy relative to the lowest polymorph listed for this composition = 224 meV/atom; symmetry = F-43m; magnetic moment = 8.4 μB per cell; ΔH_f (0 K) = 3.9 eV/f.u.; density of states at the Fermi level = 1.9 states/eV per cell
1.0
-0.229 4.855 1.144
-3.876 2.747 -1.537
-3.371 1.630 3.303
Cr Pb Tl
2 1 1
direct
0.750 0.750 0.750
0.000 0.000 0.000
0.500 0.500 0.500
0.250 0.250 0.250


[8]
NiAsCl3, relaxed, DFT GGA-PBEsol; formation energy from raw total energies = 39 meV per atom; symmetry = Pm-3m; magnetic moment = 0.0 μB per cell; density of states at the Fermi level = 3.6 states/eV per cell
1.0
-3.187 -2.195 -2.285
2.915 -0.760 -3.335
1.242 -3.847 1.963
Cl Ni As
3 1 1
direct
0.000 0.000 0.500
0.500 0.000 0.000
0.000 0.500 0.000
0.000 0.000 0.000
0.500 0.500 0.500


> Which value of magnetic moment does entry 6 give?

0.0 μB per cell


Repeat the fourth record exactly.
SrAg2Pd2, relaxed, DFT GGA-PBEsol; symmetry = I4/mmm; magnetic moment = 0.0 μB per cell; ΔH_f (0 K) = -0.8 eV/f.u.; density of states at the Fermi level = 1.9 states/eV per cell
1.0
-3.231 0.543 -2.689
-1.903 -3.436 1.593
-0.122 4.742 4.443
Pd Sr Ag
2 1 2
direct
0.750 0.250 0.500
0.250 0.750 0.500
0.000 0.000 0.000
0.388 0.388 0.775
0.612 0.612 0.225


> Which of these has the highest density of states at the Fermi level?

CeMn4Al8


> Number 4 is which compound?

SrAg2Pd2